The following is a PBE+U calculation of Fe2CO after structural relaxation, from Alexandria.

a b c (Å): 3.763 3.763 3.763
angles (deg): 60.00 60.00 60.00
Site moments in Bohr magnetons follow the coordinates.
Fractional coordinates of all 4 atoms:
O 0.500 0.500 0.500  -0.17
Fe 0.750 0.750 0.750  3.44
Fe 0.250 0.250 0.250  3.44
C 0.000 0.000 0.000  -0.48

Results
**D(E_F)**: 0.363 states/eV per atom
**V**: 9.42 Å³/atom
**Energy above the most stable polymorph in this dataset**: 167 kJ/mol of formula units
**Symmetry**: No. 225
**Crystal system**: cubic
**Energy**: -22.758 eV for the cell shown